This record from Alexandria describes a crystal of TeIr2Pt relaxed with PBEsol. The functional is SCAN.

a b c (Å): 2.8955 4.7288 4.7288
angles (deg): 90.00 90.00 90.00
Element x y z (fractional)
Ir (0.0000, 0.0000, 0.5000)
Ir (0.0000, 0.5000, 0.0000)
Pt (0.5000, 0.5000, 0.5000)
Te (0.5000, 0.0000, 0.0000)

E_tot, Ry/atom: -4.5504

***

This record from Alexandria describes a crystal of TeIr2Pt relaxed with PBEsol. The functional is SCAN.

a b c (Å): 3.0389 4.7866 4.8230
angles (deg): 101.30 90.00 108.51
Element x y z (fractional)
Ir (0.0015, 0.0029, 0.0120)
Ir (0.7473, 0.4946, 0.2472)
Pt (0.4970, 0.9940, 0.4844)
Te (0.2542, 0.5084, 0.7564)

E_tot, Ry/atom: -4.5529

***

This record from Alexandria describes a crystal of TlTe2IrPt relaxed with PBEsol. The functional is SCAN.

a b c (Å): 4.9858 5.1734 5.1734
angles (deg): 90.00 90.00 90.00
Element x y z (fractional)
Tl (0.5000, 0.0000, 0.0000)
Ir (0.5000, 0.5000, 0.5000)
Te (0.0000, 0.0000, 0.5000)
Te (0.0000, 0.5000, 0.0000)
Pt (0.0000, 0.0000, 0.0000)

E_tot, Ry/atom: -4.1576

***

This record from Alexandria describes a crystal of TiTlIr2Pt relaxed with PBEsol. The functional is SCAN.

a b c (Å): 4.5248 4.8692 4.8692
angles (deg): 90.00 90.00 90.00
Each line ends with the local moment (μB).
Element x y z (fractional)
Tl (0.5000, 0.5000, 0.5000)  0.00
Ir (0.0000, 0.0000, 0.5000)  0.91
Ir (0.0000, 0.5000, 0.0000)  0.91
Pt (0.0000, 0.0000, 0.0000)  0.29
Ti (0.5000, 0.0000, 0.0000)  0.02

ΔE_f, kcal/mol of atoms: 25.0

***

This record from Alexandria describes a crystal of Tl2IrPt relaxed with PBEsol. The functional is SCAN.

a b c (Å): 4.3366 4.9165 4.3366
angles (deg): 63.83 90.00 116.17
Element x y z (fractional)
Ir (0.0000, 0.0000, 0.0000)
Pt (0.5000, 0.0000, 0.5000)
Tl (0.2500, 0.5000, 0.2500)
Tl (0.7500, 0.5000, 0.7500)

ΔE_f, kcal/mol of atoms: 10.9
Energy relative to the lowest polymorph listed for this composition, eV/atom: 0.1101

***

This record from Alexandria describes a crystal of TlIrPt2 relaxed with PBEsol. The functional is SCAN.

a b c (Å): 2.7760 3.6290 6.7793
angles (deg): 90.00 97.26 90.00
Element x y z (fractional)
Ir (0.5000, 0.5000, 0.5000)
Pt (0.0729, 0.0000, 0.7140)
Pt (0.9271, 0.0000, 0.2860)
Tl (0.5000, 0.5000, 0.0000)

ΔE_f, kcal/mol of atoms: 5.5
Energy relative to the lowest polymorph listed for this composition, eV/atom: 0.0000

***

This record from Alexandria describes a crystal of TlIrPt2 relaxed with PBEsol. The functional is SCAN.

a b c (Å): 2.8354 4.6787 4.8958
angles (deg): 90.00 89.99 90.00
Element x y z (fractional)
Ir (0.3749, 0.5000, 0.1722)
Pt (0.8749, 0.0000, 0.0697)
Pt (0.8751, 0.5000, 0.6985)
Tl (0.3750, 0.0000, 0.5596)

ΔE_f, kcal/mol of atoms: 6.8
Energy relative to the lowest polymorph listed for this composition, eV/atom: 0.0574

***

This record from Alexandria describes a crystal of Tl3IrPt relaxed with PBEsol. The functional is SCAN.

a b c (Å): 5.1079 5.1079 5.1079
angles (deg): 90.00 90.00 90.00
Element x y z (fractional)
Tl (0.0000, 0.5000, 0.0000)
Tl (0.0000, 0.0000, 0.5000)
Tl (0.5000, 0.0000, 0.0000)
Ir (0.0000, 0.0000, 0.0000)
Pt (0.5000, 0.5000, 0.5000)

ΔE_f, kcal/mol of atoms: 13.8

***

This record from Alexandria describes a crystal of Tl2IrPt relaxed with PBEsol. The functional is SCAN.

a b c (Å): 3.3587 4.2970 5.4982
angles (deg): 90.00 107.78 90.00
Element x y z (fractional)
Ir (0.8301, 0.0000, 0.6601)
Pt (0.6658, 0.5000, 0.3316)
Tl (0.0967, 0.0000, 0.1933)
Tl (0.3957, 0.5000, 0.7914)

ΔE_f, kcal/mol of atoms: 8.4
Energy relative to the lowest polymorph listed for this composition, eV/atom: 0.0000

***

This record from Alexandria describes a crystal of Tl2IrPt relaxed with PBEsol. The functional is SCAN.

a b c (Å): 3.0576 4.3875 5.6142
angles (deg): 90.00 90.00 90.00
Element x y z (fractional)
Ir (0.0000, 0.0000, 0.4445)
Pt (0.5000, 0.5000, 0.7985)
Tl (0.0000, 0.0000, 0.9436)
Tl (0.5000, 0.5000, 0.3134)

ΔE_f, kcal/mol of atoms: 10.9
Energy relative to the lowest polymorph listed for this composition, eV/atom: 0.1119

***

This record from Alexandria describes a crystal of TlIrPt2 relaxed with PBEsol. The functional is SCAN.

a b c (Å): 2.8024 4.8583 5.5690
angles (deg): 115.86 104.57 90.00
Element x y z (fractional)
Ir (0.2574, 0.7574, 0.5147)
Pt (0.9945, 0.9945, 0.9890)
Pt (0.7448, 0.2448, 0.4897)
Tl (0.5033, 0.5033, 0.0066)

ΔE_f, kcal/mol of atoms: 7.3
Energy relative to the lowest polymorph listed for this composition, eV/atom: 0.0779

***

This record from Alexandria describes a crystal of IrPt2W relaxed with PBEsol. The functional is SCAN.

a b c (Å): 2.7424 3.9002 5.5332
angles (deg): 90.00 90.00 90.00
Element x y z (fractional)
Ir (0.5000, 0.5000, 0.7403)
W (0.0000, 0.0000, 0.5082)
Pt (0.0000, 0.0000, 0.9983)
Pt (0.5000, 0.5000, 0.2532)

ΔE_f, kcal/mol of atoms: -5.8
Energy relative to the lowest polymorph listed for this composition, eV/atom: 0.0099

***

| no. | volume (Å³ per cell) |
| --- | --- |
| 1 | 64.7 |
| 2 | 65.1 |
| 3 | 133.4 |
| 4 | 107.3 |
| 5 | 72.3 |
| 6 | 67.7 |
| 7 | 64.9 |
| 8 | 133.3 |
| 9 | 75.6 |
| 10 | 75.3 |
| 11 | 65.5 |
| 12 | 59.2 |